The following is a DFT calculation (PBE) of a relaxed SrMgBiCl crystal.

Cell: 4.7712 4.7712 10.4633 Å, 90.00 90.00 90.00°
Space group P4/nmm (No. 129, origin choice 2)
Inequivalent atoms, fractional coordinates:
Sr: 0.2500 0.2500 0.1695 (multiplicity 2)
Mg: 0.2500 0.7500 0.5000 (multiplicity 2)
Bi: 0.2500 0.2500 0.6759 (multiplicity 2)
Cl: 0.2500 0.7500 0.0000 (multiplicity 2)

Output
Density: 5.0 g/cm³
Uncorrected formation energy: -1.27 eV/atom
V: 29.8 A^3/atom